(1)
A geometry-optimized AlCoReHg structure. Source: OQMD via LeMat-Bulk, functional GGA-PBE.

abc: 6.247 6.247 6.247
angles: 90.00 90.00 90.00
Space group F-43m (No. 216)
Inequivalent atoms, fractional coordinates:
1 Al 0.000 0.000 0.000
2 Co 0.250 0.250 0.250
3 Re 0.000 0.000 0.500
4 Hg 0.250 0.250 0.750

Properties
For the energy relative to the lowest polymorph listed for this composition, the calculation gives 0.077 eV per atom. As for the magnetization: 0.574 μB/atom. The total energy comes out at -5.27 eV/atom.

=====

(2)
A geometry-optimized AlCoReHg structure. Source: OQMD via LeMat-Bulk, functional GGA-PBE.

abc: 6.224 6.224 6.224
angles: 90.00 90.00 90.00
Space group F-43m (No. 216)
Inequivalent atoms, fractional coordinates:
1 Al 0.000 0.000 0.000
2 Co 0.250 0.250 0.250
3 Re 0.250 0.250 0.750
4 Hg 0.000 0.000 0.500

Properties
For the energy relative to the lowest polymorph listed for this composition, the calculation gives 0.000 eV per atom. As for the magnetization: 0.422 μB/atom. The total energy comes out at -5.34 eV/atom.

=====

(3)
A geometry-optimized ScAlCoHg structure. Source: OQMD via LeMat-Bulk, functional GGA-PBE.

abc: 6.437 6.437 6.437
angles: 90.00 90.00 90.00
Space group F-43m (No. 216)
Inequivalent atoms, fractional coordinates:
1 Sc 0.000 0.000 0.000
2 Al 0.000 0.000 0.500
3 Co 0.250 0.250 0.750
4 Hg 0.250 0.250 0.250

Properties
For the energy relative to the lowest polymorph listed for this composition, the calculation gives 0.000 eV per atom. As for the magnetization: 0.252 μB/atom. The total energy comes out at -4.55 eV/atom.

=====

(4)
A geometry-optimized ScAlCoHg structure. Source: OQMD via LeMat-Bulk, functional GGA-PBE.

abc: 6.429 6.429 6.429
angles: 90.00 90.00 90.00
Space group F-43m (No. 216)
Inequivalent atoms, fractional coordinates:
1 Sc 0.000 0.000 0.000
2 Al 0.250 0.250 0.250
3 Co 0.000 0.000 0.500
4 Hg 0.250 0.250 0.750

Properties
For the energy relative to the lowest polymorph listed for this composition, the calculation gives 0.058 eV per atom. As for the magnetization: 0.011 μB/atom. The total energy comes out at -4.49 eV/atom.

=====

(5)
A geometry-optimized TaAlCoHg structure. Source: OQMD via LeMat-Bulk, functional GGA-PBE.

abc: 6.356 6.356 6.356
angles: 90.00 90.00 90.00
Space group F-43m (No. 216)
Inequivalent atoms, fractional coordinates:
1 Ta 0.000 0.000 0.000
2 Al 0.000 0.000 0.500
3 Co 0.250 0.250 0.750
4 Hg 0.250 0.250 0.250

Properties
For the energy relative to the lowest polymorph listed for this composition, the calculation gives 0.000 eV per atom. As for the magnetization: 0.007 μB/atom. The total energy comes out at -5.49 eV/atom.

=====

(6)
A geometry-optimized TaAlCoHg structure. Source: OQMD via LeMat-Bulk, functional GGA-PBE.

abc: 6.357 6.357 6.357
angles: 90.00 90.00 90.00
Space group F-43m (No. 216)
Inequivalent atoms, fractional coordinates:
1 Ta 0.000 0.000 0.000
2 Al 0.250 0.250 0.250
3 Co 0.000 0.000 0.500
4 Hg 0.250 0.250 0.750

Properties
For the energy relative to the lowest polymorph listed for this composition, the calculation gives 0.124 eV per atom. As for the magnetization: 0.276 μB/atom. The total energy comes out at -5.37 eV/atom.

=====

(7)
A geometry-optimized AlCoTcHg structure. Source: OQMD via LeMat-Bulk, functional GGA-PBE.

abc: 6.273 6.273 6.273
angles: 90.00 90.00 90.00
Space group F-43m (No. 216)
Inequivalent atoms, fractional coordinates:
1 Al 0.000 0.000 0.000
2 Co 0.250 0.250 0.250
3 Tc 0.000 0.000 0.500
4 Hg 0.250 0.250 0.750

Properties
For the energy relative to the lowest polymorph listed for this composition, the calculation gives 0.088 eV per atom. As for the magnetization: 0.695 μB/atom. The total energy comes out at -4.98 eV/atom.

=====

(8)
A geometry-optimized AlCoTcHg structure. Source: OQMD via LeMat-Bulk, functional GGA-PBE.

abc: 6.228 6.228 6.228
angles: 90.00 90.00 90.00
Space group F-43m (No. 216)
Inequivalent atoms, fractional coordinates:
1 Al 0.000 0.000 0.000
2 Co 0.250 0.250 0.250
3 Tc 0.250 0.250 0.750
4 Hg 0.000 0.000 0.500

Properties
For the energy relative to the lowest polymorph listed for this composition, the calculation gives 0.000 eV per atom. As for the magnetization: 0.476 μB/atom. The total energy comes out at -5.07 eV/atom.